Dy8Se3 | PBE | relaxed

Unit cell a=8.7311 b=5.6135 c=12.1981 alpha=90.00 beta=101.79 gamma=90.00
Space group C2/m (No. 12)
Unique sites:
Dy 0.0526 0.0000 0.1387
Dy 0.0596 0.5000 0.7385
Dy 0.1446 0.0000 0.4283
Dy 0.1821 0.5000 0.0416
Se 0.0000 0.5000 0.5000
Se 0.1911 0.0000 0.6953

Summary:
Crystal system: monoclinic
Total magnetic moment, μB/cell: 0.000
Formation energy (no corrections), eV/atom: -0.60
Volume, Å³ per cell: 585.2
Density of states at the Fermi level, states/eV per atom: 1.09

=====

Dy3Se4 | PBE | relaxed

Unit cell a=8.6901 b=8.6901 c=8.6901 alpha=90.00 beta=90.00 gamma=90.00
Space group I-43d (No. 220)
Unique sites:
Dy 0.0000 0.2500 0.3750
Se 0.0712 0.0712 0.0712

Summary:
Crystal system: cubic
Total magnetic moment, μB/cell: 0.000
Formation energy (no corrections), eV/atom: -1.78
Volume, Å³ per cell: 656.3
Density of states at the Fermi level, states/eV per atom: 0.61

=====

Please write out number 2 again, unchanged.
Dy3Se4 | PBE | relaxed

Unit cell a=8.6901 b=8.6901 c=8.6901 alpha=90.00 beta=90.00 gamma=90.00
Space group I-43d (No. 220)
Unique sites:
Dy 0.0000 0.2500 0.3750
Se 0.0712 0.0712 0.0712

Summary:
Crystal system: cubic
Total magnetic moment, μB/cell: 0.000
Formation energy (no corrections), eV/atom: -1.78
Volume, Å³ per cell: 656.3
Density of states at the Fermi level, states/eV per atom: 0.61

=====

Q: The highest volume belongs to which entry?
A: Dy3Se4

=====

Q: The lowest formation energy (no corrections) belongs to which entry?
A: Dy3Se4